## Fe2HPtW (PBE)

Data for crystalline Fe2HPtW at its relaxed geometry.

a = 3.7815 Å, b = 3.7815 Å, c = 3.7912 Å
α = 90.00°, β = 90.00°, γ = 90.00°
Last column: nearest neighbours and their distance in Å.
Space group P4/mmm (No. 123)
Unique sites:
Fe: 0.0000 0.5000 0.0000 [2 per cell]  2 H 1.89
H: 0.0000 0.0000 0.0000 [1 per cell]  4 Fe 1.89, 2 W 1.90
Pt: 0.5000 0.5000 0.5000 [1 per cell]  4 W 2.67, 8 Fe 2.68
W: 0.0000 0.0000 0.5000 [1 per cell]  2 H 1.90

Calculated values
E in eV per atom: -7.83
Size of the total moment in μB/f.u.: 0.00